The following is a PBE calculation of crystalline DyY2Mg3Al2Zn at its relaxed geometry, from the Open Quantum Materials Database.

Cell: 4.4543 7.3726 7.3726 Å, 119.99 90.00 90.00°
With the nearest neighbours (Å) after each atom.
Atoms (fractional coordinates):
Mg 0.5000 0.7587 0.7587  2 Zn 2.85, 2 Al 2.86, 2 Mg 3.08
Mg 0.5000 0.0000 0.2412  2 Zn 2.85, 2 Al 2.86, 2 Mg 3.08
Mg 0.5000 0.2412 0.0000  2 Zn 2.85, 2 Al 2.86, 2 Mg 3.08
Y 0.0000 0.9999 0.5797  1 Zn 3.10, 4 Al 3.14, 2 Mg 3.34
Y 0.0000 0.5797 0.9999  1 Zn 3.10, 4 Al 3.14, 2 Mg 3.34
Al 0.5000 0.6662 0.3334  3 Mg 2.86, 2 Dy 3.13, 4 Y 3.14
Al 0.5000 0.3334 0.6662  3 Mg 2.86, 2 Dy 3.13, 4 Y 3.14
Zn 0.0000 0.0007 0.0007  6 Mg 2.85, 1 Dy 3.09, 2 Y 3.10
Dy 0.0000 0.4201 0.4201  1 Zn 3.09, 4 Al 3.13, 2 Mg 3.35

magnetization: 0.00 μB per formula unit
total DFT energy (no corrections): -3.770 eV per atom
calculated volume: 209.70 Å³ per cell